1.
## TmSnRuAu (PBE-GGA)

Data for a relaxed structure of TmSnRuAu.

Output
**Total energy**: -5.6125 eV/atom
**Formation energy from the elements**: -356 meV per atom
**Calculated volume**: 19.337 Å³/atom
**Magnetization**: 0.0 μB per formula unit

```
16
Lattice="6.763 0.000 0.000 0.000 6.763 0.000 0.000 0.000 6.763" Properties=species:S:1:pos:R:3 pbc="T T T"
Tm 0.000 0.000 0.000
Tm 0.000 3.382 3.382
Tm 3.382 0.000 3.382
Tm 3.382 3.382 0.000
Sn 0.000 0.000 3.382
Sn 0.000 3.382 0.000
Sn 3.382 0.000 0.000
Sn 3.382 3.382 3.382
Ru 1.691 1.691 1.691
Ru 1.691 5.073 5.073
Ru 5.073 1.691 5.073
Ru 5.073 5.073 1.691
Au 1.691 1.691 5.073
Au 1.691 5.073 1.691
Au 5.073 1.691 1.691
Au 5.073 5.073 5.073
```



2.
## Sn2RuWAu (PBE-GGA)

Data for a relaxed structure of Sn2RuWAu.

Output
**Total energy**: -5.2508 eV/atom
**Formation energy from the elements**: 1452 meV per atom
**Calculated volume**: 26.983 Å³/atom
**Magnetization**: 2.4 μB per formula unit

```
5
Lattice="5.170 0.000 0.000 0.000 5.170 0.000 0.000 0.000 5.048" Properties=species:S:1:pos:R:3 pbc="T T T"
Sn 0.000 2.585 0.000
Sn 2.585 0.000 0.000
Ru 0.000 0.000 2.524
W 2.585 2.585 0.000
Au 2.585 2.585 2.524
```



3.
## SrRuAu (PBE-GGA)

Data for a relaxed structure of SrRuAu.

Output
**Total energy**: -3.6868 eV/atom
**Formation energy from the elements**: 1058 meV per atom
**Calculated volume**: 26.551 Å³/atom
**Magnetization**: 1.2 μB per formula unit

```
12
Lattice="6.830 0.000 0.000 0.000 6.830 0.000 0.000 0.000 6.830" Properties=species:S:1:pos:R:3 pbc="T T T"
Sr 0.000 0.000 0.000
Sr 0.000 3.415 3.415
Sr 3.415 0.000 3.415
Sr 3.415 3.415 0.000
Ru 1.708 1.708 1.708
Ru 1.708 5.123 5.123
Ru 5.123 1.708 5.123
Ru 5.123 5.123 1.708
Au 1.708 1.708 5.123
Au 1.708 5.123 1.708
Au 5.123 1.708 1.708
Au 5.123 5.123 5.123
```



4.
## SrRuAu2 (PBE-GGA)

Data for a relaxed structure of SrRuAu2.

Output
**Total energy**: -4.2083 eV/atom
**Formation energy from the elements**: 170 meV per atom
**Calculated volume**: 20.937 Å³/atom
**Magnetization**: 1.0 μB per formula unit

```
8
Lattice="3.726 0.000 0.000 0.000 4.716 0.000 0.000 0.000 9.533" Properties=species:S:1:pos:R:3 pbc="T T T"
Sr 0.000 0.000 0.000
Sr 1.863 2.358 4.766
Ru 0.000 2.358 2.239
Ru 1.863 0.000 7.005
Au 0.000 0.000 4.927
Au 0.000 2.358 7.361
Au 1.863 0.000 2.594
Au 1.863 2.358 0.161
```



What is the formula in the third record?
SrRuAu



Which value of magnetization does entry 3 give?
1.2 μB per formula unit



What did the third record say?
## SrRuAu (PBE-GGA)

Data for a relaxed structure of SrRuAu.

Output
**Total energy**: -3.6868 eV/atom
**Formation energy from the elements**: 1058 meV per atom
**Calculated volume**: 26.551 Å³/atom
**Magnetization**: 1.2 μB per formula unit

```
12
Lattice="6.830 0.000 0.000 0.000 6.830 0.000 0.000 0.000 6.830" Properties=species:S:1:pos:R:3 pbc="T T T"
Sr 0.000 0.000 0.000
Sr 0.000 3.415 3.415
Sr 3.415 0.000 3.415
Sr 3.415 3.415 0.000
Ru 1.708 1.708 1.708
Ru 1.708 5.123 5.123
Ru 5.123 1.708 5.123
Ru 5.123 5.123 1.708
Au 1.708 1.708 5.123
Au 1.708 5.123 1.708
Au 5.123 1.708 1.708
Au 5.123 5.123 5.123
```